(1)
First-principles (GGA-PBE) data for a geometry-optimized Zn5Ga2Au2 structure, as listed in Alexandria.

abc: 8.6204 5.2503 8.5494
angles: 107.88 120.28 90.00
Closest atoms and distances in Å follow each position.
Atoms (fractional coordinates):
Zn1 0.1782 0.6728 0.8632  4 Zn 2.63-2.84, 2 Ga 2.63-2.69, 2 Au 2.68-2.71
Zn2 0.8218 0.8096 0.1368  4 Zn 2.63-2.84, 2 Ga 2.63-2.69, 2 Au 2.68-2.71
Zn3 0.1850 0.1728 0.8632  4 Zn 2.63-2.84, 2 Ga 2.63-2.69, 2 Au 2.68-2.71
Zn4 0.8150 0.3096 0.1368  4 Zn 2.63-2.84, 2 Ga 2.63-2.69, 2 Au 2.68-2.71
Zn5 0.3555 0.0073 0.2982  2 Ga 2.60-2.62, 2 Au 2.63-2.83, 3 Zn 2.73-2.79
Zn6 0.6445 0.7091 0.7018  2 Ga 2.60-2.62, 2 Au 2.63-2.83, 3 Zn 2.73-2.79
Zn7 0.4426 0.5073 0.2982  2 Ga 2.60-2.62, 2 Au 2.63-2.83, 3 Zn 2.73-2.79
Zn8 0.5574 0.2091 0.7018  2 Ga 2.60-2.62, 2 Au 2.63-2.83, 3 Zn 2.73-2.79
Zn9 0.0267 0.7396 0.5000  6 Zn 2.67-2.84, 2 Au 2.71-2.74, 2 Ga 2.90
Zn10 0.9733 0.2396 0.5000  6 Zn 2.67-2.84, 2 Au 2.71-2.74, 2 Ga 2.90
Ga1 0.1144 0.5939 0.2015  5 Zn 2.60-2.90, 1 Au 2.72, 1 Ga 2.79
Ga2 0.8856 0.3924 0.7985  5 Zn 2.60-2.90, 1 Au 2.72, 1 Ga 2.79
Ga3 0.5870 0.0939 0.2015  5 Zn 2.60-2.90, 1 Au 2.72, 1 Ga 2.79
Ga4 0.4130 0.8924 0.7985  5 Zn 2.60-2.90, 1 Au 2.72, 1 Ga 2.79
Au1 0.0000 0.0058 0.0000  6 Zn 2.68-2.83, 2 Ga 2.91
Au2 0.5000 0.5058 0.0000  6 Zn 2.68-2.83, 2 Ga 2.91
Au3 0.2710 0.4055 0.5000  6 Zn 2.63-2.93, 2 Ga 2.72
Au4 0.7290 0.9055 0.5000  6 Zn 2.63-2.93, 2 Ga 2.72

***

(2)
First-principles (GGA-PBE) data for a geometry-optimized Zn4GaAu2 structure, as listed in Alexandria.

abc: 4.6741 4.6741 8.3354
angles: 64.03 64.03 49.30
Closest atoms and distances in Å follow each position.
Atoms (fractional coordinates):
Zn1 0.9184 0.9184 0.3911  4 Au 2.60-2.76, 3 Zn 2.76-2.80
Zn2 0.0816 0.0816 0.6089  4 Au 2.60-2.76, 3 Zn 2.76-2.80
Zn3 0.6388 0.6388 0.1450  3 Au 2.68-2.70, 3 Ga 2.70-2.83, 4 Zn 2.80-2.97
Zn4 0.3612 0.3612 0.8550  3 Au 2.68-2.70, 3 Ga 2.70-2.83, 4 Zn 2.80-2.97
Ga1 0.0000 0.0000 0.0000  8 Zn 2.70-2.99, 4 Au 2.81
Au1 0.7142 0.7142 0.7451  7 Zn 2.60-2.76, 2 Ga 2.81
Au2 0.2858 0.2858 0.2549  7 Zn 2.60-2.76, 2 Ga 2.81

Computed properties:
* relative energy among the computed polymorphs: 0.000 eV per atom

***

(3)
First-principles (GGA-PBE) data for a geometry-optimized Zn2Ga2Au3 structure, as listed in Alexandria.

abc: 4.5558 4.2998 7.9544
angles: 90.06 110.16 118.29
Closest atoms and distances in Å follow each position.
Atoms (fractional coordinates):
Zn1 0.7286 0.3611 0.1271  7 Au 2.69-2.92, 1 Zn 3.00, 1 Ga 3.01
Zn2 0.2714 0.6389 0.8729  7 Au 2.69-2.92, 1 Zn 3.00, 1 Ga 3.01
Ga1 0.1979 0.0910 0.3778  5 Au 2.61-2.79
Ga2 0.8021 0.9090 0.6222  5 Au 2.61-2.79
Au1 0.0000 0.0000 0.0000  6 Zn 2.69-2.78, 2 Ga 2.79
Au2 0.5328 0.2735 0.7331  4 Ga 2.61-2.71, 4 Zn 2.73-2.92
Au3 0.4672 0.7265 0.2669  4 Ga 2.61-2.71, 4 Zn 2.73-2.92

***

(4)
First-principles (GGA-PBE) data for a geometry-optimized Zn2Ga2Au5 structure, as listed in Alexandria.

abc: 5.7379 4.0210 8.2723
angles: 75.93 63.47 90.00
Closest atoms and distances in Å follow each position.
Atoms (fractional coordinates):
Zn1 0.3846 0.5680 0.8640  6 Au 2.62-2.81
Zn2 0.6154 0.4320 0.1360  6 Au 2.62-2.81
Ga1 0.7572 0.8001 0.3998  6 Au 2.62-2.85
Ga2 0.2428 0.1999 0.6002  6 Au 2.62-2.85
Au1 0.9098 0.6145 0.7710  2 Zn 2.62-2.75, 2 Ga 2.68, 4 Au 2.89-2.93
Au2 0.0902 0.3855 0.2290  2 Zn 2.62-2.75, 2 Ga 2.68, 4 Au 2.89-2.93
Au3 0.3282 0.8193 0.3613  3 Ga 2.62-2.66, 2 Zn 2.70, 2 Au 2.89
Au4 0.6718 0.1807 0.6387  3 Ga 2.62-2.66, 2 Zn 2.70, 2 Au 2.89
Au5 0.0000 0.0000 0.0000  4 Zn 2.81, 2 Ga 2.85, 4 Au 2.93

Computed properties:
* relative energy among the computed polymorphs: 0.000 eV per atom

***

(5)
First-principles (GGA-PBE) data for a geometry-optimized Zn6Ga12Au structure, as listed in Alexandria.

abc: 7.0563 7.0563 7.0563
angles: 84.76 95.24 95.24
Closest atoms and distances in Å follow each position.
Atoms (fractional coordinates):
Zn1 0.1309 0.7473 0.2813  1 Au 2.70, 6 Ga 2.71-2.97, 2 Zn 2.81
Zn2 0.7473 0.7187 0.1309  1 Au 2.70, 6 Ga 2.71-2.97, 2 Zn 2.81
Zn3 0.2813 0.1309 0.2527  1 Au 2.70, 6 Ga 2.71-2.97, 2 Zn 2.81
Zn4 0.8691 0.2527 0.7187  1 Au 2.70, 6 Ga 2.71-2.97, 2 Zn 2.81
Zn5 0.2527 0.2813 0.8691  1 Au 2.70, 6 Ga 2.71-2.97, 2 Zn 2.81
Zn6 0.7187 0.8691 0.7473  1 Au 2.70, 6 Ga 2.71-2.97, 2 Zn 2.81
Ga1 0.5013 0.8158 0.4173  4 Zn 2.71-2.95, 4 Ga 2.87-2.95
Ga2 0.1842 0.4173 0.4987  4 Zn 2.71-2.95, 4 Ga 2.87-2.95
Ga3 0.5827 0.4987 0.8158  4 Zn 2.71-2.95, 4 Ga 2.87-2.95
Ga4 0.4987 0.1842 0.5827  4 Zn 2.71-2.95, 4 Ga 2.87-2.95
Ga5 0.8158 0.5827 0.5013  4 Zn 2.71-2.95, 4 Ga 2.87-2.95
Ga6 0.4173 0.5013 0.1842  4 Zn 2.71-2.95, 4 Ga 2.87-2.95
Ga7 0.8508 0.0616 0.3843  4 Ga 2.70-2.90, 2 Zn 2.81-2.97
Ga8 0.3843 0.8508 0.9384  4 Ga 2.70-2.90, 2 Zn 2.81-2.97
Ga9 0.0616 0.6157 0.8508  4 Ga 2.70-2.90, 2 Zn 2.81-2.97
Ga10 0.1492 0.9384 0.6157  4 Ga 2.70-2.90, 2 Zn 2.81-2.97
Ga11 0.6157 0.1492 0.0616  4 Ga 2.70-2.90, 2 Zn 2.81-2.97
Ga12 0.9384 0.3843 0.1492  4 Ga 2.70-2.90, 2 Zn 2.81-2.97
Au1 0.0000 0.0000 0.0000  6 Zn 2.70

Computed properties:
* relative energy among the computed polymorphs: 0.029 eV per atom

***

(6)
First-principles (GGA-PBE) data for a geometry-optimized ZnGa2Au2 structure, as listed in Alexandria.

abc: 3.7784 3.7784 7.0800
angles: 74.52 74.52 90.00
Closest atoms and distances in Å follow each position.
Atoms (fractional coordinates):
Zn1 0.0000 0.0000 0.0000  8 Au 2.99
Au1 0.3971 0.3971 0.2058  1 Au 2.70, 4 Ga 2.70, 4 Zn 2.99
Au2 0.6029 0.6029 0.7942  1 Au 2.70, 4 Ga 2.70, 4 Zn 2.99
Ga1 0.7500 0.2500 0.5000  4 Ga 2.67, 4 Au 2.70
Ga2 0.2500 0.7500 0.5000  4 Ga 2.67, 4 Au 2.70

Computed properties:
* relative energy among the computed polymorphs: 0.140 eV per atom

***

(7)
First-principles (GGA-PBE) data for a geometry-optimized Zn2GaAu3 structure, as listed in Alexandria.

abc: 4.5078 4.5078 11.4113
angles: 90.00 90.00 120.00
Closest atoms and distances in Å follow each position.
Atoms (fractional coordinates):
Zn1 0.0000 0.0000 0.5000  8 Au 2.79-2.90
Zn2 0.3333 0.6667 0.1581  8 Au 2.74-2.90
Zn3 0.6667 0.3333 0.8419  8 Au 2.74-2.90
Zn4 0.0000 0.0000 0.0000  8 Au 2.77-2.81
Ga1 0.3333 0.6667 0.6673  8 Au 2.76-2.91
Ga2 0.6667 0.3333 0.3327  8 Au 2.76-2.91
Au1 0.3333 0.6667 0.4124  4 Ga 2.76-2.91, 4 Zn 2.79-2.90
Au2 0.6667 0.3333 0.0823  7 Zn 2.74-2.77, 1 Ga 2.86
Au3 0.0000 0.0000 0.7540  3 Ga 2.78, 5 Zn 2.79-2.90
Au4 0.0000 0.0000 0.2460  3 Ga 2.78, 5 Zn 2.79-2.90
Au5 0.3333 0.6667 0.9177  7 Zn 2.74-2.77, 1 Ga 2.86
Au6 0.6667 0.3333 0.5876  4 Ga 2.76-2.91, 4 Zn 2.79-2.90

Computed properties:
* relative energy among the computed polymorphs: 0.000 eV per atom

***

(8)
First-principles (GGA-PBE) data for a geometry-optimized Zn2GaAu2 structure, as listed in Alexandria.

abc: 4.4655 4.4544 9.1592
angles: 90.01 90.00 90.00
Closest atoms and distances in Å follow each position.
Atoms (fractional coordinates):
Zn1 0.7500 0.2498 0.0023  4 Au 2.64-2.67, 1 Zn 2.87, 1 Ga 2.89
Zn2 0.2500 0.7499 0.6846  6 Au 2.65-2.92, 1 Zn 2.87
Zn3 0.2500 0.7502 0.9977  4 Au 2.64-2.67, 1 Zn 2.87, 1 Ga 2.89
Zn4 0.7500 0.2501 0.3154  6 Au 2.65-2.92, 1 Zn 2.87
Ga1 0.7500 0.2504 0.6873  6 Au 2.65-2.94, 1 Zn 2.89
Ga2 0.2500 0.7496 0.3127  6 Au 2.65-2.94, 1 Zn 2.89
Au1 0.2500 0.2496 0.4785  4 Zn 2.69-2.92, 4 Ga 2.70-2.94
Au2 0.7500 0.7499 0.1578  6 Zn 2.64-2.67, 2 Ga 2.65
Au3 0.2500 0.2501 0.8422  6 Zn 2.64-2.67, 2 Ga 2.65
Au4 0.7500 0.7504 0.5215  4 Zn 2.69-2.92, 4 Ga 2.70-2.94

Computed properties:
* relative energy among the computed polymorphs: 0.000 eV per atom

***

(9)
First-principles (GGA-PBE) data for a geometry-optimized Zn2GaAu6 structure, as listed in Alexandria.

abc: 4.5336 8.8569 8.8569
angles: 63.53 82.27 82.27
Closest atoms and distances in Å follow each position.
Atoms (fractional coordinates):
Zn1 0.4195 0.5222 0.8193  8 Au 2.70-2.80
Zn2 0.0805 0.1807 0.4778  8 Au 2.70-2.80
Zn3 0.5805 0.4778 0.1807  8 Au 2.70-2.80
Zn4 0.9195 0.8193 0.5222  8 Au 2.70-2.80
Ga1 0.2500 0.1574 0.8426  8 Au 2.70-2.89
Ga2 0.7500 0.8426 0.1574  8 Au 2.70-2.89
Au1 0.4670 0.6755 0.4666  1 Ga 2.70, 3 Zn 2.72-2.79, 5 Au 2.87-2.99
Au2 0.0330 0.5334 0.3245  1 Ga 2.70, 3 Zn 2.72-2.79, 5 Au 2.87-2.99
Au3 0.5330 0.3245 0.5334  1 Ga 2.70, 3 Zn 2.72-2.79, 5 Au 2.87-2.99
Au4 0.9670 0.4666 0.6755  1 Ga 2.70, 3 Zn 2.72-2.79, 5 Au 2.87-2.99
Au5 0.6309 0.1230 0.3426  4 Zn 2.70-2.80, 5 Au 2.86-3.02
Au6 0.8691 0.6574 0.8770  4 Zn 2.70-2.80, 5 Au 2.86-3.02
Au7 0.3691 0.8770 0.6574  4 Zn 2.70-2.80, 5 Au 2.86-3.02
Au8 0.1309 0.3426 0.1230  4 Zn 2.70-2.80, 5 Au 2.86-3.02
Au9 0.2984 0.7912 0.0116  3 Ga 2.72-2.89, 1 Zn 2.73, 5 Au 2.86-3.02
Au10 0.2016 0.9884 0.2088  3 Ga 2.72-2.89, 1 Zn 2.73, 5 Au 2.86-3.02
Au11 0.7016 0.2088 0.9884  3 Ga 2.72-2.89, 1 Zn 2.73, 5 Au 2.86-3.02
Au12 0.7984 0.0116 0.7912  3 Ga 2.72-2.89, 1 Zn 2.73, 5 Au 2.86-3.02

Computed properties:
* relative energy among the computed polymorphs: 0.000 eV per atom

***

(10)
First-principles (GGA-PBE) data for a geometry-optimized ZnGa3Au6 structure, as listed in Alexandria.

abc: 3.1921 10.1259 11.2930
angles: 102.30 90.00 90.00
Closest atoms and distances in Å follow each position.
Atoms (fractional coordinates):
Zn1 0.7500 0.0453 0.7092  8 Au 2.62-2.93
Zn2 0.2500 0.9547 0.2908  8 Au 2.62-2.93
Ga1 0.7500 0.3978 0.8834  8 Au 2.63-2.94
Ga2 0.2500 0.6022 0.1166  8 Au 2.63-2.94
Ga3 0.7500 0.6411 0.5019  7 Au 2.62-2.90
Ga4 0.2500 0.3589 0.4981  7 Au 2.62-2.90
Ga5 0.7500 0.0946 0.0974  6 Au 2.61-2.81
Ga6 0.2500 0.9054 0.9026  6 Au 2.61-2.81
Au1 0.7500 0.4986 0.6738  4 Ga 2.65-2.77, 3 Au 2.89-2.96
Au2 0.2500 0.5014 0.3262  4 Ga 2.65-2.77, 3 Au 2.89-2.96
Au3 0.7500 0.8333 0.0778  3 Ga 2.61-2.76, 1 Au 2.88
Au4 0.2500 0.1667 0.9222  3 Ga 2.61-2.76, 1 Au 2.88
Au5 0.7500 0.3750 0.1114  4 Ga 2.63-2.81
Au6 0.2500 0.6250 0.8886  4 Ga 2.63-2.81
Au7 0.7500 0.7480 0.3056  2 Zn 2.67, 3 Ga 2.67-2.82, 1 Au 2.88
Au8 0.2500 0.2520 0.6944  2 Zn 2.67, 3 Ga 2.67-2.82, 1 Au 2.88
Au9 0.7500 0.1153 0.4741  3 Zn 2.84-2.89, 2 Ga 2.90, 6 Au 2.99-3.05
Au10 0.2500 0.8847 0.5259  3 Zn 2.84-2.89, 2 Ga 2.90, 6 Au 2.99-3.05
Au11 0.7500 0.7902 0.7220  1 Zn 2.62, 3 Ga 2.62-2.66, 1 Au 2.89
Au12 0.2500 0.2098 0.2780  1 Zn 2.62, 3 Ga 2.62-2.66, 1 Au 2.89

Computed properties:
* relative energy among the computed polymorphs: 0.006 eV per atom

***

| no. | V (Å³/atom) | calculated formation energy (eV per atom) | total magnetic moment (μB/f.u.) |
| --- | --- | --- | --- |
| 1 | 17.35 | -0.04 | 0.00 |
| 2 | 17.28 | -0.13 | 0.00 |
| 3 | 18.03 | -0.18 | 0.00 |
| 4 | 18.26 | -0.16 | 0.00 |
| 5 | 18.27 | 0.04 | 0.00 |
| 6 | 18.72 | -0.04 | 0.00 |
| 7 | 16.73 | -0.15 | 0.00 |
| 8 | 18.22 | -0.18 | 0.00 |
| 9 | 17.46 | -0.14 | 0.00 |
| 10 | 17.83 | -0.14 | 0.00 |